[1]
Below is CsSn2SbS6 after structural relaxation, with properties calculated at the PBE-GGA level.

```
data_CsSn2SbS6
_chemical_formula_sum 'Cs4 Sn8 Sb4 S24'
_space_group_name_H-M_alt 'C 1 2/c 1'
_space_group_IT_number 15
_cell_length_a 15.4966
_cell_length_b 11.7789
_cell_length_c 7.5617
_cell_angle_alpha 90.00
_cell_angle_beta 117.65
_cell_angle_gamma 90.00
loop_
_space_group_symop_operation_xyz
'x,y,z'
'-x,-y,-z'
'-x,y,-z+1/2'
'x,-y,z+1/2'
'x+1/2,y+1/2,z'
'-x+1/2,-y+1/2,-z'
'-x+1/2,y+1/2,-z+1/2'
'x+1/2,-y+1/2,z+1/2'
loop_
_atom_site_label
_atom_site_fract_x
_atom_site_fract_y
_atom_site_fract_z
_atom_site_occupancy
Cs1 0.0000 0.2088 0.2500 1
Sn1 0.2407 0.0968 0.0679 1
Sb1 0.0000 0.2929 0.7500 1
S1 0.0938 0.4309 0.6525 1
S2 0.1481 0.0092 0.7378 1
S3 0.1723 0.2801 0.1067 1
```

Formation energy from raw total energies   -0.4514 eV per atom

[2]
Below is CsSnSbS3 after structural relaxation, with properties calculated at the PBE-GGA level.

```
data_CsSnSbS3
_chemical_formula_sum 'Cs2 Sn2 Sb2 S6'
_space_group_name_H-M_alt 'P 1 21/m 1'
_space_group_IT_number 11
_cell_length_a 9.2839
_cell_length_b 4.0061
_cell_length_c 11.0852
_cell_angle_alpha 90.00
_cell_angle_beta 94.68
_cell_angle_gamma 90.00
loop_
_space_group_symop_operation_xyz
'x,y,z'
'-x,-y,-z'
'-x,y+1/2,-z'
'x,-y+1/2,z'
loop_
_atom_site_label
_atom_site_fract_x
_atom_site_fract_y
_atom_site_fract_z
_atom_site_occupancy
Cs1 0.1542 0.2500 0.2367 1
Sn1 0.2439 0.7500 0.5638 1
Sb1 0.4084 0.2500 0.8629 1
S1 0.1244 0.2500 0.6701 1
S2 0.3400 0.7500 0.0365 1
S3 0.4778 0.7500 0.7123 1
```

Formation energy from raw total energies   -0.5957 eV per atom

[3]
Below is Cs2SrSbS4 after structural relaxation, with properties calculated at the PBE-GGA level.

```
data_Cs2SrSbS4
_chemical_formula_sum 'Cs16 Sr8 Sb8 S32'
_space_group_name_H-M_alt 'F d d d'
_space_group_IT_number 70
_cell_length_a 6.9790
_cell_length_b 15.1674
_cell_length_c 26.4302
_cell_angle_alpha 90.00
_cell_angle_beta 90.00
_cell_angle_gamma 90.00
loop_
_space_group_symop_operation_xyz
'x,y,z'
'-x,-y,-z'
'-x+1/4,-y+1/4,z'
'x+1/4,y+1/4,-z'
'x,-y+1/4,-z+1/4'
'-x,y+1/4,z+1/4'
'-x+1/4,y,-z+1/4'
'x+1/4,-y,z+1/4'
'x,y+1/2,z+1/2'
'-x,-y+1/2,-z+1/2'
'-x+1/4,-y+3/4,z+1/2'
'x+1/4,y+3/4,-z+1/2'
'x,-y+3/4,-z+3/4'
'-x,y+3/4,z+3/4'
'-x+1/4,y+1/2,-z+3/4'
'x+1/4,-y+1/2,z+3/4'
'x+1/2,y,z+1/2'
'-x+1/2,-y,-z+1/2'
'-x+3/4,-y+1/4,z+1/2'
'x+3/4,y+1/4,-z+1/2'
'x+1/2,-y+1/4,-z+3/4'
'-x+1/2,y+1/4,z+3/4'
'-x+3/4,y,-z+3/4'
'x+3/4,-y,z+3/4'
'x+1/2,y+1/2,z'
'-x+1/2,-y+1/2,-z'
'-x+3/4,-y+3/4,z'
'x+3/4,y+3/4,-z'
'x+1/2,-y+3/4,-z+1/4'
'-x+1/2,y+3/4,z+1/4'
'-x+3/4,y+1/2,-z+1/4'
'x+3/4,-y+1/2,z+1/4'
loop_
_atom_site_label
_atom_site_fract_x
_atom_site_fract_y
_atom_site_fract_z
_atom_site_occupancy
Cs1 0.1250 0.1250 0.3114 1
Sr1 0.1250 0.1250 0.1250 1
Sb1 0.1250 0.1250 0.6250 1
S1 0.0903 0.2725 0.8263 1
```

DOS at the Fermi energy   0.539 states/eV per atom
Formation energy from raw total energies   -0.9133 eV per atom

[4]
Below is CsSrSbS4 after structural relaxation, with properties calculated at the PBE-GGA level.

```
data_CsSrSbS4
_chemical_formula_sum 'Cs2 Sr2 Sb2 S8'
_space_group_name_H-M_alt 'P 1 21/m 1'
_space_group_IT_number 11
_cell_length_a 7.1815
_cell_length_b 7.1652
_cell_length_c 9.5891
_cell_angle_alpha 90.00
_cell_angle_beta 106.92
_cell_angle_gamma 90.00
loop_
_space_group_symop_operation_xyz
'x,y,z'
'-x,-y,-z'
'-x,y+1/2,-z'
'x,-y+1/2,z'
loop_
_atom_site_label
_atom_site_fract_x
_atom_site_fract_y
_atom_site_fract_z
_atom_site_occupancy
Cs1 0.2338 0.2500 0.4368 1
Sr1 0.2688 0.2500 0.9470 1
Sb1 0.2772 0.7500 0.1707 1
S1 0.0773 0.7500 0.9282 1
S2 0.0814 0.7500 0.3290 1
S3 0.4937 0.0061 0.2087 1
```

DOS at the Fermi energy   0.000 states/eV per atom
Formation energy from raw total energies   -1.0369 eV per atom

[5]
Below is CsSrSbS3 after structural relaxation, with properties calculated at the PBE-GGA level.

```
data_CsSrSbS3
_chemical_formula_sum 'Cs4 Sr4 Sb4 S12'
_space_group_name_H-M_alt 'C 1 2/m 1'
_space_group_IT_number 12
_cell_length_a 16.9556
_cell_length_b 5.1081
_cell_length_c 9.1431
_cell_angle_alpha 90.00
_cell_angle_beta 103.38
_cell_angle_gamma 90.00
loop_
_space_group_symop_operation_xyz
'x,y,z'
'-x,-y,-z'
'-x,y,-z'
'x,-y,z'
'x+1/2,y+1/2,z'
'-x+1/2,-y+1/2,-z'
'-x+1/2,y+1/2,-z'
'x+1/2,-y+1/2,z'
loop_
_atom_site_label
_atom_site_fract_x
_atom_site_fract_y
_atom_site_fract_z
_atom_site_occupancy
Cs1 0.1434 0.0000 0.0641 1
Sr1 0.1571 0.0000 0.5661 1
Sb1 0.9999 0.5000 0.3324 1
S1 0.0051 0.0000 0.3007 1
S2 0.1507 0.5000 0.7745 1
S3 0.1620 0.5000 0.3614 1
```

DOS at the Fermi energy   0.542 states/eV per atom
Formation energy from raw total energies   -1.0363 eV per atom

[6]
Below is Cs2TbSb2S6 after structural relaxation, with properties calculated at the PBE-GGA level.

```
data_Cs2TbSb2S6
_chemical_formula_sum 'Cs4 Tb2 Sb4 S12'
_space_group_name_H-M_alt 'C 1 2/m 1'
_space_group_IT_number 12
_cell_length_a 12.5987
_cell_length_b 7.4705
_cell_length_c 8.8618
_cell_angle_alpha 90.00
_cell_angle_beta 116.87
_cell_angle_gamma 90.00
loop_
_space_group_symop_operation_xyz
'x,y,z'
'-x,-y,-z'
'-x,y,-z'
'x,-y,z'
'x+1/2,y+1/2,z'
'-x+1/2,-y+1/2,-z'
'-x+1/2,y+1/2,-z'
'x+1/2,-y+1/2,z'
loop_
_atom_site_label
_atom_site_fract_x
_atom_site_fract_y
_atom_site_fract_z
_atom_site_occupancy
Cs1 0.2027 0.0000 0.1741 1
Tb1 0.0000 0.0000 0.5000 1
Sb1 0.0590 0.5000 0.2054 1
S1 0.0432 0.2403 0.7625 1
S2 0.2358 0.0000 0.5848 1
```

DOS at the Fermi energy   0.371 states/eV per atom
Formation energy from raw total energies   -0.8691 eV per atom

[7]
Below is CsSbTe2S after structural relaxation, with properties calculated at the PBE-GGA level.

```
data_CsSbTe2S
_chemical_formula_sum 'Cs1 Sb1 Te2 S1'
_space_group_name_H-M_alt 'P 4/m m m'
_space_group_IT_number 123
_space_group_name_Hall '-P 4 2'
_cell_length_a 6.4738
_cell_length_b 6.4738
_cell_length_c 6.5124
_cell_angle_alpha 90.00
_cell_angle_beta 90.00
_cell_angle_gamma 90.00
loop_
_atom_site_label
_atom_site_fract_x
_atom_site_fract_y
_atom_site_fract_z
_atom_site_occupancy
Cs1 0.0000 0.0000 0.0000 1
Sb1 0.0000 0.0000 0.5000 1
Te1 0.0000 0.5000 0.0000 1
S1 0.5000 0.5000 0.5000 1
```

DOS at the Fermi energy   1.865 states/eV per atom
Formation energy from raw total energies   1.5450 eV per atom
Energy relative to the lowest polymorph listed for this composition   1.5161 eV per atom

[8]
Below is CsSbTeS6 after structural relaxation, with properties calculated at the PBE-GGA level.

```
data_CsSbTeS6
_chemical_formula_sum 'Cs1 Sb1 Te1 S6'
_space_group_name_H-M_alt 'P 3 1 2'
_space_group_IT_number 149
_cell_length_a 6.4264
_cell_length_b 6.4264
_cell_length_c 8.3048
_cell_angle_alpha 90.00
_cell_angle_beta 90.00
_cell_angle_gamma 120.00
loop_
_space_group_symop_operation_xyz
'x,y,z'
'-y,x-y,z'
'-x+y,-x,z'
'-y,-x,-z'
'-x+y,y,-z'
'x,x-y,-z'
loop_
_atom_site_label
_atom_site_fract_x
_atom_site_fract_y
_atom_site_fract_z
_atom_site_occupancy
Cs1 0.0000 0.0000 0.0000 1
Sb1 0.3333 0.6667 0.5000 1
Te1 0.6667 0.3333 0.5000 1
S1 0.3723 0.0011 0.6794 1
```

DOS at the Fermi energy   0.038 states/eV per atom
Formation energy from raw total energies   -0.1159 eV per atom

[9]
Below is CsSbTe2S after structural relaxation, with properties calculated at the PBE-GGA level.

```
data_CsSbTe2S
_chemical_formula_sum 'Cs1 Sb1 Te2 S1'
_space_group_name_H-M_alt 'P 4/m m m'
_space_group_IT_number 123
_space_group_name_Hall '-P 4 2'
_cell_length_a 5.6037
_cell_length_b 5.6037
_cell_length_c 5.4598
_cell_angle_alpha 90.00
_cell_angle_beta 90.00
_cell_angle_gamma 90.00
loop_
_atom_site_label
_atom_site_fract_x
_atom_site_fract_y
_atom_site_fract_z
_atom_site_occupancy
Cs1 0.0000 0.0000 0.0000 1
Sb1 0.5000 0.5000 0.0000 1
Te1 0.0000 0.5000 0.5000 1
S1 0.5000 0.5000 0.5000 1
```

DOS at the Fermi energy   0.457 states/eV per atom
Formation energy from raw total energies   0.0288 eV per atom
Energy relative to the lowest polymorph listed for this composition   0.0000 eV per atom

What are the total magnetic moment values for these records? In order: 0.00 0.00 5.06 0.00 0.00 0.00 3.87 0.00 1.23 Bohr magnetons per cell.
What are the calculated density values for these records? In order: 3.7 3.8 2.9 3.3 3.8 3.8 3.3 3.2 5.2 g/cm3.